## TaZnW2 (GGA-PBE)

Data for TaZnW2 after structural relaxation.

Output
Raw total energy   -38.35 eV for the cell shown
Space group   Pmmm
Calculated density   15.8 Mg/m³
Energy of formation   16.5 kJ per mole of atoms

Unit cell a=3.4294 b=4.3141 c=4.3604 alpha=90.00 beta=90.00 gamma=90.00
Closest atoms and distances in Å follow each position.
Element x y z (fractional)
Ta 0.0000 0.0000 0.0000  4 Zn 2.76, 8 W 2.77-3.07
Zn 0.5000 0.5000 0.0000  4 Ta 2.76, 8 W 2.77-3.07
W 0.0000 0.5000 0.5000  4 W 2.76, 4 Zn 2.77, 4 Ta 3.07
W 0.5000 0.0000 0.5000  4 W 2.76, 4 Ta 2.77, 4 Zn 3.07